(1)
DFT (GGA-PBE) results for an optimized crystal structure of CaSiW2.

Summary:
**Formation energy (no corrections)**: 0.3759 eV per atom
**Space group**: No. 12

a b c (Å): 6.0863 6.0955 6.0955
angles (deg): 154.48 131.80 55.33
With the nearest neighbours (Å) after each atom.
Sites, in units of the cell vectors:
Ca 0.2500 0.7500 0.5000  2 Ca 2.69, 4 Si 2.83
Si 0.7500 0.2500 0.5000  4 W 2.58, 2 Si 2.69, 4 Ca 2.83
W 0.9532 0.9542 0.9990  2 Si 2.58, 2 W 2.69
W 0.5468 0.5458 0.0010  2 Si 2.58, 2 W 2.69

(2)
DFT (GGA-PBE) results for an optimized crystal structure of Li3Ce4Se8.

Summary:
**Formation energy (no corrections)**: -1.5733 eV per atom
**Space group**: No. 12

a b c (Å): 8.3727 8.2930 8.2930
angles (deg): 91.60 119.73 119.73
With the nearest neighbours (Å) after each atom.
Sites, in units of the cell vectors:
Li 0.5000 0.5000 0.0000  6 Se 2.89-2.97
Li 0.5000 0.0000 0.5000  6 Se 2.89-2.97
Li 0.5000 0.5000 0.5000  6 Se 2.91-2.98
Ce 0.5000 0.0000 0.0000  6 Se 2.88-2.97
Ce 0.0000 0.5000 0.0000  6 Se 2.89-2.97
Ce 0.0000 0.0000 0.0000  6 Se 2.85-2.94
Ce 0.0000 0.0000 0.5000  6 Se 2.89-2.97
Se 0.4839 0.2405 0.2405  2 Ce 2.85-2.88, 3 Li 2.91-2.97
Se 0.0000 0.7549 0.2451  3 Ce 2.89-2.91, 2 Li 2.94
Se 0.0044 0.2564 0.2564  1 Li 2.92, 4 Ce 2.94-2.97
Se 0.5000 0.7505 0.2495  3 Li 2.89-2.98, 3 Ce 2.94-2.97
Se 0.5000 0.2495 0.7505  3 Li 2.89-2.98, 3 Ce 2.94-2.97
Se 0.9956 0.7436 0.7436  1 Li 2.92, 4 Ce 2.94-2.97
Se 0.0000 0.2451 0.7549  3 Ce 2.89-2.91, 2 Li 2.94
Se 0.5161 0.7595 0.7595  2 Ce 2.85-2.88, 3 Li 2.91-2.97

(3)
DFT (GGA-PBE) results for an optimized crystal structure of CdPtPb2.

Summary:
**DFT total energy**: -14.120 eV for the cell shown
**Space group**: No. 47

a b c (Å): 4.8089 4.8354 4.1141
angles (deg): 90.00 90.00 90.00
With the nearest neighbours (Å) after each atom.
Sites, in units of the cell vectors:
Pb 0.0000 0.0000 0.0000  4 Pt 3.16, 4 Cd 3.17, 4 Pb 3.41
Pb 0.5000 0.5000 0.0000  4 Cd 3.16, 4 Pt 3.17, 4 Pb 3.41
Pt 0.5000 0.0000 0.5000  8 Pb 3.16-3.17, 4 Cd 3.41
Cd 0.0000 0.5000 0.5000  8 Pb 3.16-3.17, 4 Pt 3.41

Let's list DOS at the Fermi energy in order: 2.09 22.30 1.55 states/eV per cell.